1.
## Er2TmIn (GGA-PBE)

Data for a relaxed Er2TmIn crystal.

Cell: 4.7825 4.7825 4.8000 Å, 90.00 90.00 90.00°
Atoms (fractional coordinates):
Er 0.5000 0.0000 0.5000
Er 0.0000 0.5000 0.5000
Tm 0.5000 0.5000 0.0000
In 0.0000 0.0000 0.0000

Calculated values
Total moment = 0.07 μB/f.u.
Crystal system = tetragonal
Space-group type = P4/mmm
Final energy = -17.4 eV per formula unit

2.
## BaGdHg6 (GGA-PBE)

Data for a relaxed BaGdHg6 crystal.

Cell: 6.8564 6.8564 5.1766 Å, 90.00 90.00 120.00°
Atoms (fractional coordinates):
Ba 0.0000 0.0000 0.5000
Gd 0.3333 0.6667 0.0000
Hg 0.4966 0.9932 0.5000
Hg 0.0068 0.5034 0.5000
Hg 0.3597 0.1798 0.0000
Hg 0.4966 0.5034 0.5000
Hg 0.8202 0.1798 0.0000
Hg 0.8202 0.6403 0.0000

Calculated values
Total moment = 0.01 μB/f.u.
Crystal system = hexagonal
Space-group type = P-6m2
Final energy = -11.1 eV per formula unit

3.
## Ir3Pb5Au (GGA-PBE)

Data for a relaxed Ir3Pb5Au crystal.

Cell: 5.6480 5.6480 8.0081 Å, 90.00 90.00 120.00°
Atoms (fractional coordinates):
Ir 0.5000 0.0000 0.5000
Pb 0.6667 0.3333 0.2055
Ir 0.0000 0.5000 0.5000
Ir 0.5000 0.5000 0.5000
Pb 0.6667 0.3333 0.7945
Pb 0.0000 0.0000 0.5000
Pb 0.3333 0.6667 0.7945
Au 0.0000 0.0000 0.0000
Pb 0.3333 0.6667 0.2055

Calculated values
Total moment = 0.02 μB/f.u.
Crystal system = hexagonal
Space-group type = P6/mmm
Final energy = -46.3 eV per formula unit

4.
## ZrNbFePb (GGA-PBE)

Data for a relaxed ZrNbFePb crystal.

Cell: 4.7113 4.7113 4.7113 Å, 60.00 60.00 60.00°
Atoms (fractional coordinates):
Pb 0.0000 0.0000 0.0000
Nb 0.2500 0.2500 0.2500
Fe 0.7500 0.7500 0.7500
Zr 0.5000 0.5000 0.5000

Calculated values
Total moment = 2.93 μB/f.u.
Crystal system = cubic
Space-group type = F-43m
Final energy = -29.3 eV per formula unit

5.
## LiCuTcGe (GGA-PBE)

Data for a relaxed LiCuTcGe crystal.

Cell: 4.1859 4.1859 4.1859 Å, 60.00 60.00 60.00°
Atoms (fractional coordinates):
Li 0.5000 0.5000 0.5000
Cu 0.7500 0.7500 0.7500
Tc 0.2500 0.2500 0.2500
Ge 0.0000 0.0000 0.0000

Calculated values
Total moment = 0.01 μB/f.u.
Crystal system = cubic
Space-group type = F-43m
Final energy = -20.6 eV per formula unit

6.
## NbCuHgPb (GGA-PBE)

Data for a relaxed NbCuHgPb crystal.

Cell: 4.8995 4.8995 4.8995 Å, 60.00 60.00 60.00°
Atoms (fractional coordinates):
Pb 0.0000 0.0000 0.0000
Cu 0.7500 0.7500 0.7500
Hg 0.2500 0.2500 0.2500
Nb 0.5000 0.5000 0.5000

Calculated values
Total moment = 2.07 μB/f.u.
Crystal system = cubic
Space-group type = F-43m
Final energy = -15.2 eV per formula unit

Look up the final energy of the fifth one. -20.6 eV per formula unit

final energy of number 3 (Ir3Pb5Au)? -46.3 eV per formula unit

Among the records above, which one has the highest final energy? BaGdHg6